[1]
# FeCoOsI2

FeCoOsI2 after structural relaxation (PBE, the Alexandria database).

Values from the calculation:
SG = P4/mmm
Formation energy without anion corrections = 1.702 eV/atom
DOS(E_F) = 1.882 states/eV per atom

```
data_FeCoOsI2
_cell_length_a 5.0640
_cell_length_b 4.5054
_cell_length_c 5.0640
_cell_angle_alpha 90.00
_cell_angle_beta 90.00
_cell_angle_gamma 90.00
_space_group_name_H-M_alt 'P 1'
_space_group_IT_number 1
_space_group_name_Hall 'P 1'
loop_
_atom_site_label
_atom_site_fract_x
_atom_site_fract_y
_atom_site_fract_z
I1 0.0000 0.0000 0.5000
Os1 0.0000 0.5000 0.0000
Co1 0.5000 0.5000 0.5000
Fe1 0.0000 0.0000 0.0000
I2 0.5000 0.0000 0.0000
```

[2]
# FeCoPb2I

FeCoPb2I after structural relaxation (PBE, the Alexandria database).

Values from the calculation:
SG = P4/mmm
Formation energy without anion corrections = 1.542 eV/atom
DOS(E_F) = 1.050 states/eV per atom

```
data_FeCoPb2I
_cell_length_a 6.1174
_cell_length_b 4.6104
_cell_length_c 6.1174
_cell_angle_alpha 90.00
_cell_angle_beta 90.00
_cell_angle_gamma 90.00
_space_group_name_H-M_alt 'P 1'
_space_group_IT_number 1
_space_group_name_Hall 'P 1'
loop_
_atom_site_label
_atom_site_fract_x
_atom_site_fract_y
_atom_site_fract_z
I1 0.0000 0.0000 0.0000
Fe1 0.0000 0.5000 0.0000
Pb1 0.0000 0.0000 0.5000
Pb2 0.5000 0.0000 0.0000
Co1 0.5000 0.5000 0.5000
```

[3]
# RbFe2CoI8

RbFe2CoI8 after structural relaxation (PBE, the Alexandria database).

Values from the calculation:
SG = C2/m
Formation energy without anion corrections = -0.323 eV/atom
DOS(E_F) = 0.985 states/eV per atom

```
data_RbFe2CoI8
_cell_length_a 7.0815
_cell_length_b 7.0815
_cell_length_c 10.5974
_cell_angle_alpha 84.12
_cell_angle_beta 84.12
_cell_angle_gamma 68.32
_space_group_name_H-M_alt 'P 1'
_space_group_IT_number 1
_space_group_name_Hall 'P 1'
loop_
_atom_site_label
_atom_site_fract_x
_atom_site_fract_y
_atom_site_fract_z
I1 0.7681 0.7681 0.0074
I2 0.3140 0.3140 0.5750
Rb1 0.0000 0.0000 0.5000
I3 0.6860 0.6860 0.4250
Co1 0.0000 0.0000 0.0000
I4 0.2264 0.7417 0.1910
Fe1 0.3822 0.3822 0.7946
I5 0.2319 0.2319 0.9926
I6 0.7417 0.2264 0.1910
I7 0.2583 0.7736 0.8090
I8 0.7736 0.2583 0.8090
Fe2 0.6178 0.6178 0.2054
```

[4]
# FeCoSbI2

FeCoSbI2 after structural relaxation (PBE, the Alexandria database).

Values from the calculation:
SG = P4/mmm
Formation energy without anion corrections = 0.853 eV/atom
Energy relative to the lowest polymorph listed for this composition = 0.000 eV per formula unit
DOS(E_F) = 0.881 states/eV per atom

```
data_FeCoSbI2
_cell_length_a 5.3553
_cell_length_b 5.3553
_cell_length_c 4.7860
_cell_angle_alpha 90.00
_cell_angle_beta 90.00
_cell_angle_gamma 90.00
_space_group_name_H-M_alt 'P 1'
_space_group_IT_number 1
_space_group_name_Hall 'P 1'
loop_
_atom_site_label
_atom_site_fract_x
_atom_site_fract_y
_atom_site_fract_z
I1 0.5000 0.0000 0.0000
Fe1 0.5000 0.5000 0.5000
Sb1 0.0000 0.0000 0.5000
Co1 0.0000 0.0000 0.0000
I2 0.0000 0.5000 0.0000
```